Below is a relaxed structure of Zr5Tc3, with properties calculated at the PBE-GGA level.

Cell and atoms, written as extended XYZ:
```
8
Lattice="-4.389 3.833 0.861 -4.779 -1.986 -2.813 -1.276 -2.315 3.801" Properties=species:S:1:pos:R:3 pbc="T T T"
Tc -2.842 -0.713 1.431
Tc -7.602 0.246 0.418
Tc -4.584 0.924 -0.976
Zr -2.194 1.916 0.431
Zr -5.311 -1.559 0.088
Zr 0.000 0.000 0.000
Zr -5.133 1.092 1.762
Zr -2.390 -0.993 -1.406
```

## Properties
- D(E_F) (states/eV/f.u.) = 8.89
- calculated volume (A^3/atom) = 19.05
- energy (Ry/atom) = -0.6928
- formation enthalpy at 0 K (eV/atom) = -0.197

Below is a relaxed structure of Pm2Si4NiRh3, with properties calculated at the PBE-GGA level.

Cell and atoms, written as extended XYZ:
```
10
Lattice="-1.274 1.459 -3.677 0.318 -3.813 -1.623 -9.302 -1.839 2.494" Properties=species:S:1:pos:R:3 pbc="T T T"
Si -0.478 -1.177 -2.650
Si -3.323 -2.595 0.122
Si 0.000 0.000 0.000
Si -6.456 -0.421 -0.278
Ni -5.129 -2.096 -1.403
Rh -8.755 -0.875 0.338
Rh -4.651 -0.919 1.247
Rh -1.025 -2.140 -0.494
Pm -6.843 -3.290 1.066
Pm -2.937 0.275 -1.222
```

## Properties
- D(E_F) (states/eV/f.u.) = 8.39
- calculated volume (A^3/atom) = 16.93
- energy (Ry/atom) = -0.5037
- ΔE_f (raw) (eV/atom) = -0.951

Below is a relaxed structure of YCo3Pt, with properties calculated at the PBE-GGA level.

Cell and atoms, written as extended XYZ:
```
5
Lattice="-1.029 -2.459 -3.773 3.515 -2.858 0.904 -2.816 -2.670 2.507" Properties=species:S:1:pos:R:3 pbc="T T T"
Co -1.408 -1.335 1.254
Co -0.514 -1.229 -1.887
Co 1.757 -1.429 0.452
Pt 0.000 0.000 0.000
Y -0.165 -3.993 -0.181
```

## Properties
- D(E_F) (states/eV/f.u.) = 5.71
- calculated volume (A^3/atom) = 19.72
- energy (Ry/atom) = -0.4548
- formation enthalpy at 0 K (eV/atom) = 0.576

Below is a relaxed structure of Pm8Dy2Ho3, with properties calculated at the PBE-GGA level.

Cell and atoms, written as extended XYZ:
```
13
Lattice="11.187 1.548 -1.463 0.004 5.269 -3.338 0.026 -1.084 7.982" Properties=species:S:1:pos:R:3 pbc="T T T"
Dy 6.459 4.034 0.534
Dy 4.757 1.699 2.646
Pm 9.908 3.471 -0.381
Pm 8.175 1.121 1.746
Pm 3.041 4.612 1.435
Pm 1.308 2.262 3.562
Pm 3.888 3.699 -1.946
Pm 7.328 2.034 5.127
Pm 2.158 1.346 0.172
Pm 9.058 4.387 3.008
Ho 0.440 4.261 -1.031
Ho 5.593 0.774 -0.732
Ho 10.776 1.472 4.212
```

## Properties
- D(E_F) (states/eV/f.u.) = 17.46
- calculated volume (A^3/atom) = 33.08
- energy (Ry/atom) = -0.3435
- formation enthalpy at 0 K (eV/atom) = 0.014

Q: The lowest calculated volume belongs to which entry?
A: Pm2Si4NiRh3